VASP calculation (PBE) on crystalline Ac2NdY4 at its relaxed geometry.

Values from the calculation:
- Calculated density: 6.1 g/cm³
- Energy of formation: 6.83 kcal/mol of atoms
- Total DFT energy (no corrections): -5.25 eV/atom
- Symmetry: I-42d, No. 122

Cell and atoms, written as extended XYZ:
```
14
Lattice="-5.0695 5.0695 5.0927 5.0695 -5.0695 5.0927 5.0695 5.0695 -5.0927" Properties=species:S:1:pos:R:3 pbc="T T T"
Ac 1.2135 2.5347 1.2732
Ac -2.5347 3.8560 3.8195
Ac -1.2135 7.6042 1.2732
Ac 2.5347 6.2829 3.8195
Nd 5.0695 0.0000 2.5464
Nd 0.0000 0.0000 5.0927
Y 1.7411 -0.8235 2.1910
Y 4.2460 1.7411 -0.3553
Y 3.3284 5.8930 -2.9017
Y 3.3284 -0.8235 5.4480
Y 4.2460 3.3284 2.9017
Y 1.7411 5.8930 0.3553
Y 0.8235 3.3284 4.7374
Y 0.8235 1.7411 7.9944
```